1.
Al3PdBr: relaxed, GGA-PBE.

- Formation energy without anion corrections: 0.99 eV/atom
- Size of the total moment: 0.00 μB per formula unit
- Fermi-level density of states: 2.3 states/eV/f.u.
- Raw total energy: -0.1930 Ry per atom

abc: 5.024 5.024 5.024
angles: 90.00 90.00 90.00
Sites, in units of the cell vectors:
Br (0.000, 0.000, 0.000)
Pd (0.500, 0.500, 0.500)
Al (0.000, 0.500, 0.000)
Al (0.000, 0.000, 0.500)
Al (0.500, 0.000, 0.000)

---

2.
AlPd3Br: relaxed, GGA-PBE.

- Formation energy without anion corrections: 0.19 eV/atom
- Size of the total moment: 0.00 μB per formula unit
- Fermi-level density of states: 0.0 states/eV/f.u.
- Raw total energy: -0.2948 Ry per atom

abc: 4.677 4.677 4.677
angles: 90.00 90.00 90.00
Sites, in units of the cell vectors:
Br (0.500, 0.500, 0.500)
Pd (0.000, 0.500, 0.000)
Pd (0.000, 0.000, 0.500)
Pd (0.500, 0.000, 0.000)
Al (0.000, 0.000, 0.000)

---

3.
Rb2AlPdBr6: relaxed, GGA-PBE.

- Formation energy without anion corrections: -1.08 eV/atom
- Size of the total moment: 1.00 μB per formula unit
- Fermi-level density of states: 2.2 states/eV/f.u.
- Raw total energy: -0.2329 Ry per atom

abc: 7.534 7.534 7.529
angles: 59.98 59.98 90.00
Site moments in Bohr magnetons follow the coordinates.
Sites, in units of the cell vectors:
Br (0.258, 0.258, 0.484)  0.04
Br (0.742, 0.742, 0.516)  0.04
Br (0.260, 0.260, 0.000)  0.04
Br (0.740, 0.740, 0.000)  0.04
Br (0.740, 0.260, 0.000)  0.04
Br (0.260, 0.740, 0.000)  0.04
Rb (0.750, 0.250, 0.500)  0.00
Rb (0.250, 0.750, 0.500)  0.00
Pd (0.000, 0.000, 0.000)  0.67
Al (0.500, 0.500, 0.000)  0.01